The following is a GGA+U calculation of an optimized crystal structure of Mg30TiVO32, from Alexandria via LeMat-Bulk.

Calculated values
Calculated total energy in eV per atom: -6.106
Total moment in μB per atom: 0.08

a b c (Å): 8.5495 8.5495 8.5332
angles (deg): 90.00 90.00 90.00
Positions (direct):
Mg 0.0000 0.0000 0.0000
Mg 0.0000 0.0000 0.5000
Mg 0.0000 0.2497 0.2501
Mg 0.0000 0.2497 0.7499
Mg 0.0000 0.5000 0.0000
Mg 0.0000 0.5000 0.5000
Mg 0.0000 0.7503 0.2501
Mg 0.0000 0.7503 0.7499
Mg 0.2475 0.5000 0.2497
Mg 0.2475 0.5000 0.7503
Mg 0.2492 0.2492 0.0000
Mg 0.2492 0.7508 0.0000
Mg 0.2497 0.0000 0.2501
Mg 0.2497 0.0000 0.7499
Mg 0.2495 0.2495 0.5000
Mg 0.2495 0.7505 0.5000
Mg 0.5000 0.0000 0.0000
Mg 0.5000 0.0000 0.5000
Mg 0.5000 0.2475 0.2497
Mg 0.5000 0.2475 0.7503
Mg 0.5000 0.7525 0.2497
Mg 0.5000 0.7525 0.7503
Mg 0.7503 0.0000 0.2501
Mg 0.7503 0.0000 0.7499
Mg 0.7505 0.2495 0.5000
Mg 0.7505 0.7505 0.5000
Mg 0.7508 0.2492 0.0000
Mg 0.7508 0.7508 0.0000
Mg 0.7525 0.5000 0.2497
Mg 0.7525 0.5000 0.7503
Ti 0.5000 0.5000 0.5000
V 0.5000 0.5000 0.0000
O 0.0000 0.0000 0.2498
O 0.0000 0.0000 0.7502
O 0.0000 0.2492 0.5000
O 0.0000 0.2495 0.0000
O 0.0000 0.5000 0.2497
O 0.0000 0.5000 0.7503
O 0.0000 0.7505 0.0000
O 0.0000 0.7508 0.5000
O 0.2437 0.5000 0.5000
O 0.2454 0.5000 0.0000
O 0.2492 0.0000 0.5000
O 0.2495 0.0000 0.0000
O 0.2505 0.2505 0.2498
O 0.2505 0.2505 0.7502
O 0.2505 0.7495 0.2498
O 0.2505 0.7495 0.7502
O 0.5000 0.0000 0.2497
O 0.5000 0.0000 0.7503
O 0.5000 0.2437 0.5000
O 0.5000 0.2454 0.0000
O 0.5000 0.5000 0.2529
O 0.5000 0.5000 0.7471
O 0.5000 0.7546 0.0000
O 0.5000 0.7563 0.5000
O 0.7495 0.2505 0.2498
O 0.7495 0.2505 0.7502
O 0.7495 0.7495 0.2498
O 0.7495 0.7495 0.7502
O 0.7505 0.0000 0.0000
O 0.7508 0.0000 0.5000
O 0.7546 0.5000 0.0000
O 0.7563 0.5000 0.5000